# MnIrPtO6

A relaxed structure of MnIrPtO6 (GGA+U, the Alexandria database).

Unit cell a=5.201 b=5.201 c=9.020 alpha=90.00 beta=90.00 gamma=120.00
Each line ends with the local moment (μB).
Element x y z (fractional)
O 0.350 0.357 0.869  -0.18
Mn 0.000 0.000 0.000  4.46
O 0.350 0.993 0.631  -0.18
O 0.643 0.650 0.631  -0.18
Ir 0.667 0.333 0.250  -1.13
O 0.650 0.643 0.131  -0.18
Pt 0.333 0.667 0.250  -0.16
O 0.643 0.993 0.869  -0.18
O 0.993 0.643 0.369  -0.18
Mn 0.000 0.000 0.500  4.46
O 0.993 0.350 0.131  -0.18
Pt 0.667 0.333 0.750  -0.16
O 0.357 0.007 0.131  -0.18
Ir 0.333 0.667 0.750  -1.13
O 0.650 0.007 0.369  -0.18
O 0.007 0.357 0.631  -0.18
O 0.357 0.350 0.369  -0.18
O 0.007 0.650 0.869  -0.18

## Properties
symmetry = No. 163
uncorrected energy = -118.6 eV/cell
Fermi-level density of states = 4.5 states/eV/f.u.